The following is a PBE+U calculation of a relaxed structure of Ti3Fe3Sb2O16, from Alexandria.

Cell: 6.0261 6.0261 9.3365 Å, 89.63 89.63 59.61°
Site moments in Bohr magnetons follow the coordinates.
Atoms (fractional coordinates):
1 Ti 0.8329 0.3366 0.7894  0.02
2 Ti 0.3366 0.8329 0.7894  0.02
3 Ti 0.1642 0.1642 0.2848  0.05
4 Fe 0.8310 0.8310 0.7924  4.30
5 Fe 0.6612 0.1685 0.2928  4.20
6 Fe 0.1685 0.6612 0.2928  4.20
7 Sb 0.6691 0.6691 0.5101  0.02
8 Sb 0.3357 0.3357 0.0122  0.01
9 O 0.8347 0.3460 0.3951  0.06
10 O 0.5239 0.5239 0.6599  0.00
11 O 0.6588 0.6588 0.8973  0.08
12 O 0.0034 0.0034 0.6982  0.08
13 O 0.9994 0.9994 0.1968  0.06
14 O 0.3460 0.8347 0.3951  0.06
15 O 0.9530 0.5163 0.6599  0.07
16 O 0.5163 0.9530 0.6599  0.07
17 O 0.1749 0.1749 0.8930  0.00
18 O 0.8326 0.8326 0.4006  0.11
19 O 0.4710 0.0436 0.1580  0.04
20 O 0.0436 0.4710 0.1580  0.04
21 O 0.3305 0.3305 0.3961  0.02
22 O 0.6582 0.1760 0.8962  0.07
23 O 0.4772 0.4772 0.1601  0.08
24 O 0.1760 0.6582 0.8962  0.07

Computed properties:
- Calculated density: 4.60 g cm⁻³
- E_tot: -173.5 eV for the cell shown